## V2Rh2O7 (PBE with a Hubbard U)

Data for V2Rh2O7 after structural relaxation.

## Properties
DOS(E_F)   0.89 states/eV/f.u.
DFT total energy   -310.993 eV/cell
V   632.3 Å³/cell

a = 8.1232 Å, b = 8.1206 Å, c = 10.3214 Å
α = 90.00°, β = 111.76°, γ = 90.00°
With the nearest neighbours (Å) after each atom.
Space group C2/c (No. 15)
Inequivalent atoms, fractional coordinates:
V 0.2101 0.1997 0.2866  4 O 1.69-1.83
Rh 0.1952 0.4365 0.9904  4 O 1.98-2.06
O 0.0000 0.0916 0.2500  2 V 1.83
O 0.1047 0.4157 0.6094  1 V 1.76
O 0.1989 0.3807 0.3643  1 V 1.69
O 0.2281 0.2386 0.1207  1 V 1.80